{"formula": "Sr2HoAuO4", "functional": "PBE", "state": "relaxed", "formation_energy_uncorrected_kj_per_mol_fu": -1713, "sg": "No. 82", "rho_g_cm3": 6.24, "dft_energy_ev_per_atom": -6.1008, "total_magnetization_mub_per_atom": 0.00, "cell": [[-3.607, 2.536, -4.996], [6.045, -2.800, 0.164], [-0.300, -5.835, 3.204]], "species": ["O", "Sr", "O", "O", "Au", "Sr", "Ho", "O"], "frac_coords": [[0.490, 0.362, 0.403], [0.500, 0.750, 0.250], [0.959, 0.597, 0.087], [0.041, 0.128, 0.638], [0.000, 0.500, 0.500], [0.000, 0.000, 0.000], [0.500, 0.250, 0.750], [0.510, 0.913, 0.872]]}